[1]
The following is a DFT calculation (PBE-GGA) of KSb2As after structural relaxation.

Formation energy (no corrections)   -0.0563 eV/atom
Total magnetization   0.00 μB/f.u.

Cell: 3.9380 3.9380 27.5194 Å, 90.00 90.00 120.00°
Space group R-3m (No. 166, hexagonal axes)
Unique sites:
K 0.0000 0.0000 0.0000 (multiplicity 3)
Sb 0.0000 0.0000 0.2302 (multiplicity 6)
As 0.0000 0.0000 0.5000 (multiplicity 3)

---

[2]
The following is a DFT calculation (PBE-GGA) of NaSnSb2I after structural relaxation.

ΔE to the lowest computed polymorph   344.4 meV per atom
Formation energy (no corrections)   0.5647 eV/atom
Total magnetization   0.00 μB/f.u.

Cell: 5.471 5.471 5.761 Å, 90.00 90.00 90.00°
Space group P4/mmm (No. 123)
Unique sites:
Na 0.000 0.000 0.000 (multiplicity 1)
Sn 0.500 0.500 0.500 (multiplicity 1)
Sb 0.000 0.500 0.000 (multiplicity 2)
I 0.000 0.000 0.500 (multiplicity 1)

---

[3]
The following is a DFT calculation (PBE-GGA) of Ac2VSb after structural relaxation.

ΔE to the lowest computed polymorph   0.0 meV per atom
Formation energy (no corrections)   -0.1233 eV/atom
Total magnetization   3.60 μB/f.u.

Cell: 5.454 5.454 4.315 Å, 90.00 90.00 90.00°
Space group P4/mmm (No. 123)
Unique sites:
Ac 0.000 0.500 0.000 (multiplicity 2)
V 0.000 0.000 0.500 (multiplicity 1)
Sb 0.500 0.500 0.500 (multiplicity 1)

---

[4]
The following is a DFT calculation (PBE-GGA) of ZnIn2Cl4 after structural relaxation.

ΔE to the lowest computed polymorph   74.4 meV per atom
Formation energy (no corrections)   -0.8996 eV/atom
Total magnetization   0.00 μB/f.u.

Cell: 5.042 5.042 15.537 Å, 90.00 90.00 90.00°
Space group I4/mmm (No. 139)
Unique sites:
Zn 0.000 0.000 0.000 (multiplicity 2)
In 0.000 0.000 0.361 (multiplicity 4)
Cl 0.000 0.000 0.154 (multiplicity 4)
Cl 0.000 0.500 0.000 (multiplicity 4)

---

| no. | DFT total energy (eV/atom) |
| --- | --- |
| 1 | -3.554 |
| 2 | -2.459 |
| 3 | -5.488 |
| 4 | -2.919 |